No. 1
Here is a relaxed structure of HfNb3Ru from the Alexandria database. Energies are from PBE-GGA.

Computed properties:
DFT formation energy (meV/atom): 858

a b c (Å): 4.8056 4.8056 4.8056
angles (deg): 90.00 90.00 90.00
Element x y z (fractional)
Hf 0.5000 0.5000 0.5000
Nb 0.5000 0.0000 0.0000
Nb 0.0000 0.0000 0.5000
Ru 0.0000 0.0000 0.0000
Nb 0.0000 0.5000 0.0000



No. 2
Here is a relaxed structure of Ca2TiH6 from the Alexandria database. Energies are from PBE-GGA.

Computed properties:
Total DFT energy (no corrections) (eV per atom): -3.892

a b c (Å): 5.2424 5.2424 5.2424
angles (deg): 60.00 60.00 60.00
Element x y z (fractional)
H 0.2514 0.7486 0.7486
Ca 0.2500 0.2500 0.2500
H 0.7486 0.2514 0.7486
H 0.7486 0.2514 0.2514
H 0.2514 0.2514 0.7486
H 0.7486 0.7486 0.2514
Ca 0.7500 0.7500 0.7500
Ti 0.0000 0.0000 0.0000
H 0.2514 0.7486 0.2514



No. 3
Here is a relaxed structure of NaHo2ScTe4 from the Alexandria database. Energies are from PBE-GGA.

Computed properties:
Formation energy without anion corrections (eV/f.u.): -9.82

a b c (Å): 4.2957 7.5431 7.4749
angles (deg): 108.98 90.00 90.00
Element x y z (fractional)
Te 0.0000 0.2572 0.7581
Ho 0.5000 0.0000 0.5000
Te 0.5000 0.7444 0.7519
Te 0.5000 0.2556 0.2481
Ho 0.0000 0.5000 0.5000
Na 0.0000 0.0000 0.0000
Te 0.0000 0.7428 0.2419
Sc 0.5000 0.5000 0.0000



no.,magnetization (Bohr magnetons per cell)
1,0.0
2,1.9
3,0.0